[1]
DFT (GGA-PBE) results for a geometry-optimized LuHfGaCo structure.

The structure in POSCAR format:
```
LuHfGaCo
1.0
6.5712 0.0000 0.0000
0.0000 6.5712 0.0000
0.0000 0.0000 6.5712
Lu Hf Ga Co
4 4 4 4
Cartesian
0.0000 0.0000 0.0000 Lu
0.0000 3.2856 3.2856 Lu
3.2856 0.0000 3.2856 Lu
3.2856 3.2856 0.0000 Lu
1.6428 1.6428 4.9284 Hf
1.6428 4.9284 1.6428 Hf
4.9284 1.6428 1.6428 Hf
4.9284 4.9284 4.9284 Hf
1.6428 1.6428 1.6428 Ga
1.6428 4.9284 4.9284 Ga
4.9284 1.6428 4.9284 Ga
4.9284 4.9284 1.6428 Ga
0.0000 0.0000 3.2856 Co
0.0000 3.2856 0.0000 Co
3.2856 0.0000 0.0000 Co
3.2856 3.2856 3.2856 Co
```

Its symmetry is F-43m. Its total energy is -6.1296 eV/atom. Its relative energy among the computed polymorphs is 0.000 eV per atom.

=====

[2]
DFT (GGA-PBE) results for a geometry-optimized KTaCuSe2S structure.

The structure in POSCAR format:
```
KTaCuSe2S
1.0
1.8406 -7.5128 0.0000
1.8406 7.5128 0.0000
0.0000 0.0000 9.6780
K Ta Cu Se S
2 2 2 4 2
Cartesian
1.8406 3.8654 7.2585 K
1.8406 -3.8654 2.4195 K
1.8406 0.0000 0.0000 Ta
1.8406 0.0000 4.8390 Ta
1.8406 7.0349 2.4195 Cu
1.8406 -7.0349 7.2585 Cu
1.8406 5.6664 0.4560 Se
1.8406 5.6664 4.3830 Se
1.8406 -5.6664 5.2950 Se
1.8406 -5.6664 9.2220 Se
1.8406 0.8860 2.4195 S
1.8406 -0.8860 7.2585 S
```

Its symmetry is Cmcm. Its total energy is -5.4074 eV/atom.